No. 1
The following is a PBE calculation of an optimized crystal structure of La2TbHg6, from Alexandria.

a = 3.5100 Å, b = 8.7823 Å, c = 8.7823 Å
α = 120.00°, β = 90.00°, γ = 90.00°
Closest atoms and distances in Å follow each position.
Fractional coordinates of all 9 atoms:
1 Hg 0.5000 0.3298 0.3298  3 Hg 2.90-2.99
2 Hg 0.5000 0.0000 0.3298  3 Hg 2.90-2.99
3 Hg 0.5000 0.3298 0.0000  3 Hg 2.90-2.99
4 Hg 0.5000 0.6702 0.0000  3 Hg 2.90-2.99
5 Hg 0.5000 0.0000 0.6702  3 Hg 2.90-2.99
6 Hg 0.5000 0.6702 0.6702  3 Hg 2.90-2.99
7 La 0.0000 0.6667 0.3333  12 Hg 3.43, 2 La 3.51
8 La 0.0000 0.3333 0.6667  12 Hg 3.43, 2 La 3.51
9 Tb 0.0000 0.0000 0.0000  12 Hg 3.39, 2 Tb 3.51

## Properties
- E_tot (eV for the cell shown) = -20.34
- formation energy from the elements (eV/atom) = -0.45

No. 2
The following is a PBE calculation of an optimized crystal structure of LaSbW2Au, from Alexandria.

a = 4.9346 Å, b = 5.6293 Å, c = 4.9346 Å
α = 90.00°, β = 90.00°, γ = 90.00°
Closest atoms and distances in Å follow each position.
Fractional coordinates of all 5 atoms:
1 La 0.0000 0.5000 0.0000  2 Au 2.81
2 W 0.5000 0.0000 0.0000  2 Au 2.47
3 W 0.0000 0.0000 0.5000  2 Au 2.47
4 Sb 0.5000 0.5000 0.5000  4 La 3.49, 8 W 3.74
5 Au 0.0000 0.0000 0.0000  4 W 2.47

## Properties
- formation energy from raw total energies (meV per atom) = 1468
- E_tot (eV for the cell shown) = -30.89

No. 3
The following is a PBE calculation of an optimized crystal structure of AgI, from Alexandria.

a = 4.5846 Å, b = 4.5846 Å, c = 15.6306 Å
α = 90.00°, β = 90.00°, γ = 120.00°
Closest atoms and distances in Å follow each position.
Fractional coordinates of all 8 atoms:
1 Ag 0.3333 0.6667 0.9294  4 I 2.91, 3 Ag 3.15
2 Ag 0.0000 0.0000 0.8206  4 I 2.91, 3 Ag 3.15
3 Ag 0.6667 0.3333 0.4294  4 I 2.91, 3 Ag 3.15
4 Ag 0.0000 0.0000 0.3206  4 I 2.91, 3 Ag 3.15
5 I 0.0000 0.0000 0.5067  4 Ag 2.91
6 I 0.0000 0.0000 0.0067  4 Ag 2.91
7 I 0.3333 0.6667 0.7432  4 Ag 2.91
8 I 0.6667 0.3333 0.2432  4 Ag 2.91

## Properties
- formation energy from raw total energies (meV per atom) = -241
- E_tot (eV for the cell shown) = -19.54

No. 4
The following is a PBE calculation of an optimized crystal structure of Ce8InRh6, from Alexandria.

a = 3.8937 Å, b = 10.3352 Å, c = 10.3352 Å
α = 120.00°, β = 90.00°, γ = 90.00°
Closest atoms and distances in Å follow each position.
Fractional coordinates of all 15 atoms:
1 Ce 0.7764 0.0522 0.7330  4 Rh 2.68-2.93
2 Ce 0.7764 0.2670 0.3192  4 Rh 2.68-2.93
3 Ce 0.2236 0.3192 0.0522  4 Rh 2.68-2.93
4 Ce 0.2599 0.3333 0.6667  6 Rh 2.94-3.04
5 Ce 0.2236 0.9478 0.2670  4 Rh 2.68-2.93
6 Ce 0.7764 0.6808 0.9478  4 Rh 2.68-2.93
7 Ce 0.2236 0.7330 0.6808  4 Rh 2.68-2.93
8 Ce 0.7401 0.6667 0.3333  6 Rh 2.94-3.04
9 Rh 0.2602 0.4735 0.3790  5 Ce 2.68-2.94, 1 Rh 2.95
10 Rh 0.7398 0.5265 0.6210  5 Ce 2.68-2.94, 1 Rh 2.95
11 Rh 0.7398 0.0945 0.4735  5 Ce 2.68-2.94, 1 Rh 2.95
12 Rh 0.7398 0.3790 0.9055  5 Ce 2.68-2.94, 1 Rh 2.95
13 Rh 0.2602 0.9055 0.5265  5 Ce 2.68-2.94, 1 Rh 2.95
14 Rh 0.2602 0.6210 0.0945  5 Ce 2.68-2.94, 1 Rh 2.95
15 In 0.5000 0.0000 0.0000  6 Ce 3.25

## Properties
- E_tot (eV for the cell shown) = -102.79
- formation energy from the elements (eV/atom) = -0.56

No. 5
The following is a PBE calculation of an optimized crystal structure of Dy8Ge3Te4Pd, from Alexandria.

a = 8.4590 Å, b = 8.6084 Å, c = 8.4594 Å
α = 119.43°, β = 120.00°, γ = 90.00°
Closest atoms and distances in Å follow each position.
Fractional coordinates of all 16 atoms:
1 Ge 0.5000 0.5000 0.0000  6 Dy 2.89-2.90
2 Ge 0.5000 0.5000 0.5000  6 Dy 2.89-2.90
3 Ge 0.0000 0.5000 0.5000  6 Dy 2.89-2.90
4 Pd 0.0000 0.5000 0.0000  6 Dy 2.92
5 Te 0.0000 0.0000 0.5000  6 Dy 3.14-3.16
6 Te 0.5000 0.0000 0.5000  6 Dy 3.14-3.16
7 Te 0.0000 0.0000 0.0000  6 Dy 3.14-3.16
8 Te 0.5000 0.0000 0.0000  6 Dy 3.13
9 Dy 0.2418 0.7202 0.4835  2 Ge 2.89, 1 Pd 2.92, 3 Te 3.13-3.16
10 Dy 0.2633 0.2799 0.0216  2 Ge 2.89, 1 Pd 2.92, 3 Te 3.13-3.16
11 Dy 0.7583 0.2799 0.0216  2 Ge 2.89, 1 Pd 2.92, 3 Te 3.13-3.16
12 Dy 0.7405 0.7216 0.4811  3 Ge 2.90, 3 Te 3.14
13 Dy 0.2417 0.7201 0.9784  2 Ge 2.89, 1 Pd 2.92, 3 Te 3.13-3.16
14 Dy 0.7367 0.7201 0.9784  2 Ge 2.89, 1 Pd 2.92, 3 Te 3.13-3.16
15 Dy 0.7582 0.2798 0.5165  2 Ge 2.89, 1 Pd 2.92, 3 Te 3.13-3.16
16 Dy 0.2595 0.2784 0.5189  3 Ge 2.90, 3 Te 3.14

## Properties
- formation energy from raw total energies (meV per atom) = -1134
- E_tot (eV for the cell shown) = -86.57

No. 6
The following is a PBE calculation of an optimized crystal structure of SrCaAcDy, from Alexandria.

a = 6.1676 Å, b = 6.1676 Å, c = 6.1676 Å
α = 60.00°, β = 60.00°, γ = 60.00°
Closest atoms and distances in Å follow each position.
Fractional coordinates of all 4 atoms:
1 Ac 0.7500 0.7500 0.7500  4 Dy 3.78, 4 Sr 3.78
2 Sr 0.5000 0.5000 0.5000  4 Ac 3.78, 4 Ca 3.78
3 Dy 0.0000 0.0000 0.0000  4 Ac 3.78, 4 Ca 3.78
4 Ca 0.2500 0.2500 0.2500  4 Dy 3.78, 4 Sr 3.78

## Properties
- E_tot (eV for the cell shown) = -11.78
- formation energy from the elements (eV/atom) = 0.15

No. 7
The following is a PBE calculation of an optimized crystal structure of AcLaSm2Tl2, from Alexandria.

a = 5.2956 Å, b = 7.1329 Å, c = 10.5267 Å
α = 90.00°, β = 90.00°, γ = 90.00°
Closest atoms and distances in Å follow each position.
Fractional coordinates of all 12 atoms:
1 Ac 0.0000 0.4470 0.5505  5 Tl 3.46-3.75, 2 La 3.53, 2 Ac 3.72
2 Ac 0.0000 0.9470 0.4495  5 Tl 3.46-3.75, 2 La 3.53, 2 Ac 3.72
3 La 0.5000 0.1911 0.6893  4 Tl 3.37-3.58, 2 Ac 3.53
4 La 0.5000 0.6911 0.3107  4 Tl 3.37-3.58, 2 Ac 3.53
5 Tl 0.5000 0.7219 0.6501  3 Sm 3.29-3.43, 2 La 3.37-3.58, 2 Ac 3.46
6 Tl 0.5000 0.2219 0.3499  3 Sm 3.29-3.43, 2 La 3.37-3.58, 2 Ac 3.46
7 Tl 0.0000 0.7949 0.1217  4 Sm 3.20-3.33, 2 La 3.39
8 Tl 0.0000 0.2949 0.8783  4 Sm 3.20-3.33, 2 La 3.39
9 Sm 0.5000 0.0548 0.0441  5 Tl 3.33-3.60, 4 Sm 3.62-3.69
10 Sm 0.5000 0.5548 0.9559  5 Tl 3.33-3.60, 4 Sm 3.62-3.69
11 Sm 0.0000 0.3359 0.1813  4 Tl 3.20-3.33
12 Sm 0.0000 0.8359 0.8187  4 Tl 3.20-3.33

## Properties
- E_tot (eV for the cell shown) = -49.46
- formation energy from the elements (eV/atom) = -0.25